# 1
The following is a PBE calculation of a relaxed Na2LiCd2In2 crystal, from Alexandria via LeMat-Bulk.

Results
Crystal system: trigonal
Theoretical density (g/cm3): 5.078
Calculated formation energy (kcal/mol of atoms): -3.2

Cell: 8.1314 8.1314 8.1314 Å, 35.97 35.97 35.97°
With the nearest neighbours (Å) after each atom.
Element x y z (fractional)
Na 0.1406 0.1406 0.1406  3 Na 3.13, 3 In 3.17, 1 Li 3.20, 1 Cd 3.22
Na 0.8594 0.8594 0.8594  3 Na 3.13, 3 In 3.17, 1 Li 3.20, 1 Cd 3.22
Li 0.0000 0.0000 0.0000  6 Cd 3.13, 2 Na 3.20, 6 In 3.48
Cd 0.2817 0.2817 0.2817  4 In 3.00-3.11, 3 Li 3.13, 1 Na 3.22
Cd 0.7183 0.7183 0.7183  4 In 3.00-3.11, 3 Li 3.13, 1 Na 3.22
In 0.4181 0.4181 0.4181  4 Cd 3.00-3.11, 3 Na 3.17
In 0.5819 0.5819 0.5819  4 Cd 3.00-3.11, 3 Na 3.17

---

# 2
The following is a PBE calculation of a relaxed LiCd3In3O8 crystal, from Alexandria via LeMat-Bulk.

Results
ΔE_f (raw) (eV per atom): -1.26
Crystal system: trigonal
Theoretical density (g/cm3): 6.907

Cell: 6.5754 6.5754 6.5754 Å, 58.97 58.97 58.97°
With the nearest neighbours (Å) after each atom.
Element x y z (fractional)
Li 0.0000 0.0000 0.0000  6 O 2.18
Cd 0.0000 0.0000 0.5000  6 O 2.36-2.40
Cd 0.0000 0.5000 0.0000  6 O 2.36-2.40
Cd 0.5000 0.0000 0.0000  6 O 2.36-2.40
In 0.0000 0.5000 0.5000  6 O 2.22-2.25
In 0.5000 0.0000 0.5000  6 O 2.22-2.25
In 0.5000 0.5000 0.0000  6 O 2.22-2.25
O 0.2362 0.2362 0.7452  1 Li 2.18, 2 In 2.22, 2 Cd 2.40
O 0.2362 0.7452 0.2362  1 Li 2.18, 2 In 2.22, 2 Cd 2.40
O 0.2548 0.7638 0.7638  1 Li 2.18, 2 In 2.22, 2 Cd 2.40
O 0.2557 0.2557 0.2557  3 In 2.25, 3 Cd 2.36
O 0.7443 0.7443 0.7443  3 In 2.25, 3 Cd 2.36
O 0.7452 0.2362 0.2362  1 Li 2.18, 2 In 2.22, 2 Cd 2.40
O 0.7638 0.2548 0.7638  1 Li 2.18, 2 In 2.22, 2 Cd 2.40
O 0.7638 0.7638 0.2548  1 Li 2.18, 2 In 2.22, 2 Cd 2.40